1.
The following is a DFT calculation (GGA-PBE) of an optimized crystal structure of TaCd2Mo.

Computed properties:
The formation energy is 35.6 kJ/mol of atoms. Its polymorph energy (0 for the lowest one) is 0.190 eV per atom. Its space-group type is Imm2 (44).

Structure (POSCAR):
```
TaCd2Mo
1.0
3.209 0.000 0.000
0.000 5.008 0.000
0.000 0.000 9.570
Ta Cd Mo
2 4 2
Direct
0.000 0.000 0.000
0.500 0.500 0.500
0.000 0.000 0.470
0.000 0.500 0.228
0.500 0.000 0.728
0.500 0.500 0.970
0.000 0.500 0.707
0.500 0.000 0.207
```

=====

2.
The following is a DFT calculation (GGA-PBE) of an optimized crystal structure of Sm2As3Pd5.

Computed properties:
The formation energy is -80.3 kJ/mol of atoms. Its space-group type is Cmc2_1 (36).

Structure (POSCAR):
```
Sm2As3Pd5
1.0
2.199 -12.083 0.000
2.199 12.083 0.000
0.000 0.000 7.006
Sm As Pd
4 6 10
Direct
0.021 0.979 0.500
0.326 0.674 0.476
0.674 0.326 0.976
0.979 0.021 0.000
0.107 0.893 0.804
0.274 0.726 0.910
0.451 0.549 0.701
0.549 0.451 0.201
0.726 0.274 0.410
0.893 0.107 0.304
0.106 0.894 0.183
0.198 0.802 0.615
0.226 0.774 0.221
0.376 0.624 0.963
0.446 0.554 0.305
0.554 0.446 0.805
0.624 0.376 0.463
0.774 0.226 0.721
0.802 0.198 0.115
0.894 0.106 0.683
```

=====

3.
The following is a DFT calculation (GGA-PBE) of an optimized crystal structure of ZrCdPb2.

Computed properties:
The formation energy is 4.8 kJ/mol of atoms. Its space-group type is R-3m (166).

Structure (POSCAR):
```
ZrCdPb2
1.0
3.469 0.000 0.000
-1.735 3.005 0.000
0.000 0.000 30.104
Zr Cd Pb
3 3 6
Direct
0.000 0.000 0.000
0.333 0.667 0.667
0.667 0.333 0.333
0.000 0.000 0.500
0.333 0.667 0.167
0.667 0.333 0.833
0.000 0.000 0.251
0.000 0.000 0.749
0.333 0.667 0.416
0.333 0.667 0.918
0.667 0.333 0.082
0.667 0.333 0.584
```

=====

4.
The following is a DFT calculation (GGA-PBE) of an optimized crystal structure of Sm8Cd2Ni.

Computed properties:
The formation energy is -11.4 kJ/mol of atoms. Its space-group type is C2/m (12).

Structure (POSCAR):
```
Sm8Cd2Ni
1.0
9.043 -2.657 0.000
9.043 2.657 0.000
-1.597 0.000 6.712
Sm Cd Ni
8 2 1
Direct
0.019 0.019 0.276
0.203 0.203 0.797
0.353 0.353 0.540
0.410 0.410 0.060
0.590 0.590 0.940
0.647 0.647 0.460
0.797 0.797 0.203
0.981 0.981 0.724
0.190 0.190 0.236
0.810 0.810 0.764
0.500 0.500 0.500
```

=====

5.
The following is a DFT calculation (GGA-PBE) of an optimized crystal structure of Pu4Ir3Ru.

Computed properties:
The formation energy is -34.7 kJ/mol of atoms. Its space-group type is I4/mmm (139).

Structure (POSCAR):
```
Pu4Ir3Ru
1.0
4.840 0.000 0.000
0.000 4.840 0.000
0.000 0.000 13.621
Pu Ir Ru
8 6 2
Direct
0.000 0.500 0.125
0.000 0.500 0.375
0.000 0.500 0.625
0.000 0.500 0.875
0.500 0.000 0.125
0.500 0.000 0.375
0.500 0.000 0.625
0.500 0.000 0.875
0.000 0.000 0.000
0.000 0.000 0.255
0.000 0.000 0.745
0.500 0.500 0.245
0.500 0.500 0.500
0.500 0.500 0.755
0.000 0.000 0.500
0.500 0.500 0.000
```

=====

6.
The following is a DFT calculation (GGA-PBE) of an optimized crystal structure of NdZr2Np.

Computed properties:
The formation energy is 41.7 kJ/mol of atoms. Its space-group type is R-3m (166).

Structure (POSCAR):
```
NdZr2Np
1.0
3.248 0.000 0.000
-1.624 2.813 0.000
0.000 0.000 34.418
Nd Zr Np
3 6 3
Direct
0.000 0.000 0.000
0.333 0.667 0.667
0.667 0.333 0.333
0.000 0.000 0.093
0.000 0.000 0.907
0.333 0.667 0.574
0.333 0.667 0.760
0.667 0.333 0.240
0.667 0.333 0.426
0.000 0.000 0.500
0.333 0.667 0.167
0.667 0.333 0.833
```